No. 1
## Nd2Er3In3 (PBE)

Data for crystalline Nd2Er3In3 at its relaxed geometry.

Properties
Its energy above the most stable polymorph in this dataset is 5 meV/atom. The formation energy is -340 meV/atom. The calculation puts the spin magnetization at 0.0 Bohr magnetons per cell. Its density of states at the Fermi level is 0.828 states/eV/atom.

Cell: 4.548 4.870 10.657 Å, 103.21 102.32 90.00°
Fractional coordinates of all 8 atoms:
Nd (0.259, 0.759, 0.518)
Nd (0.741, 0.241, 0.482)
Er (0.384, 0.384, 0.767)
Er (0.616, 0.616, 0.233)
Er (0.500, 0.000, 0.000)
In (0.879, 0.879, 0.758)
In (0.000, 0.500, 0.000)
In (0.121, 0.121, 0.242)


No. 2
## Nd2Er3In3 (PBE)

Data for crystalline Nd2Er3In3 at its relaxed geometry.

Properties
Its energy above the most stable polymorph in this dataset is 0 meV/atom. The formation energy is -344 meV/atom. The calculation puts the spin magnetization at 0.0 Bohr magnetons per cell. Its density of states at the Fermi level is 1.134 states/eV/atom.

Cell: 4.905 4.976 9.247 Å, 90.00 90.00 90.00°
Fractional coordinates of all 8 atoms:
Nd (0.000, 0.000, 0.744)
Nd (0.000, 0.000, 0.256)
Er (0.500, 0.500, 0.731)
Er (0.500, 0.500, 0.269)
Er (0.500, 0.000, 0.000)
In (0.500, 0.000, 0.500)
In (0.000, 0.500, 0.000)
In (0.000, 0.500, 0.500)


No. 3
## NdEr4In (PBE)

Data for crystalline NdEr4In at its relaxed geometry.

Properties
Its energy above the most stable polymorph in this dataset is 0 meV/atom. The formation energy is -147 meV/atom. The calculation puts the spin magnetization at 0.0 Bohr magnetons per cell. Its density of states at the Fermi level is 1.063 states/eV/atom.

Cell: 3.566 3.566 14.188 Å, 90.00 90.00 90.00°
Fractional coordinates of all 6 atoms:
Nd (0.000, 0.000, 0.000)
Er (0.500, 0.500, 0.180)
Er (0.000, 0.000, 0.646)
Er (0.000, 0.000, 0.354)
Er (0.500, 0.500, 0.820)
In (0.500, 0.500, 0.500)


No. 4
## NdEr3In3 (PBE)

Data for crystalline NdEr3In3 at its relaxed geometry.

Properties
Its energy above the most stable polymorph in this dataset is 0 meV/atom. The formation energy is -356 meV/atom. The calculation puts the spin magnetization at 0.0 Bohr magnetons per cell. Its density of states at the Fermi level is 0.865 states/eV/atom.

Cell: 5.162 9.378 9.378 Å, 120.00 90.00 90.00°
Fractional coordinates of all 14 atoms:
Nd (0.250, 0.667, 0.333)
Nd (0.750, 0.333, 0.667)
Er (0.250, 0.770, 0.769)
Er (0.250, 0.231, 0.001)
Er (0.250, 0.999, 0.230)
Er (0.750, 0.230, 0.231)
Er (0.750, 0.769, 0.999)
Er (0.750, 0.001, 0.770)
In (0.750, 0.618, 0.549)
In (0.750, 0.451, 0.070)
In (0.750, 0.930, 0.382)
In (0.250, 0.382, 0.451)
In (0.250, 0.549, 0.930)
In (0.250, 0.070, 0.618)


Number 1: final energy -4.270 eV/atom. Number 2: final energy -4.274 eV/atom. Number 3: final energy -4.440 eV/atom. Number 4: final energy -4.166 eV/atom.